(1)
Density functional theory data (GGA-PBE) for a geometry-optimized Ac2ErC2Br2 structure.

The structure in extended XYZ format:
```
7
Lattice="4.632 0.000 0.000 0.000 4.632 0.000 -2.316 -2.316 8.206" Properties=species:S:1:pos:R:3 pbc="T T T"
Ac 0.000 0.000 6.532
Ac 2.316 2.316 1.673
Er 0.000 0.000 0.000
C 0.000 2.316 0.000
C 2.316 0.000 0.000
Br 0.000 0.000 3.036
Br 2.316 2.316 5.170
```

Properties
ρ: 7.592 Mg/m³
Formation energy from raw total energies: -5.26 eV/f.u.
Total magnetization: 0.000 μB per atom

---

(2)
Density functional theory data (GGA-PBE) for a geometry-optimized Ac4GeCBr2 structure.

The structure in extended XYZ format:
```
8
Lattice="-3.082 -2.969 -0.457 3.649 -4.529 4.808 -5.181 4.697 4.435" Properties=species:S:1:pos:R:3 pbc="T T T"
Ac -1.624 -1.731 1.934
Ac -2.990 -1.070 6.852
Ac -3.126 2.478 4.985
Ac 1.594 -2.310 4.258
Ge 0.000 0.000 0.000
C 0.283 -3.749 2.175
Br -4.132 0.864 1.989
Br -0.766 0.084 4.621
```

Properties
ρ: 7.463 Mg/m³
Formation energy from raw total energies: -7.09 eV/f.u.
Total magnetization: 0.000 μB per atom

---

(3)
Density functional theory data (GGA-PBE) for a geometry-optimized AcH8C2Br structure.

The structure in extended XYZ format:
```
12
Lattice="-1.608 4.761 2.971 -5.377 0.372 -2.241 -1.641 -3.928 4.495" Properties=species:S:1:pos:R:3 pbc="T T T"
Ac 0.000 0.000 0.000
H -4.299 0.259 4.220
H -4.557 2.725 1.000
H -5.243 1.738 2.328
H -3.384 -0.533 2.896
H -4.071 -1.520 4.224
H -5.160 -0.744 3.029
H -3.467 1.949 2.195
H -4.328 0.945 1.004
C -4.405 1.843 1.633
C -4.223 -0.638 3.591
Br -0.821 -1.964 2.247
```

Properties
ρ: 2.698 Mg/m³
Energy: -4.505 eV per atom
Total magnetization: 0.042 μB per atom

---

(4)
Density functional theory data (GGA-PBE) for a geometry-optimized Ac2HoC2Br2 structure.

The structure in extended XYZ format:
```
7
Lattice="4.648 0.000 0.000 0.000 4.648 0.000 -2.324 -2.324 8.191" Properties=species:S:1:pos:R:3 pbc="T T T"
Ac 0.000 0.000 6.522
Ac 2.324 2.324 1.670
Ho 0.000 0.000 0.000
C 0.000 2.324 0.000
C 2.324 0.000 0.000
Br 0.000 0.000 3.038
Br 2.324 2.324 5.153
```

Properties
ρ: 7.533 Mg/m³
Formation energy from raw total energies: -5.19 eV/f.u.
Total magnetization: 0.000 μB per atom

---

(5)
Density functional theory data (GGA-PBE) for a geometry-optimized Ac6Ir2CBr3 structure.

The structure in extended XYZ format:
```
12
Lattice="7.433 0.002 0.005 -3.713 6.439 0.005 -1.236 -2.139 8.169" Properties=species:S:1:pos:R:3 pbc="T T T"
Ac 3.665 2.257 6.639
Ac 2.536 4.391 1.546
Ac -1.180 2.044 1.540
Ac 0.124 4.302 6.639
Ac -0.052 -0.090 6.633
Ac 2.361 -0.001 1.540
Ir 0.000 4.294 0.005
Ir 3.720 2.146 0.005
C 0.000 0.000 0.000
Br -2.488 4.305 4.089
Br 4.972 -0.004 4.089
Br 1.242 2.151 4.089
```

Properties
ρ: 8.482 Mg/m³
Formation energy from raw total energies: -11.83 eV/f.u.
Total magnetization: 0.000 μB per atom

---

(6)
Density functional theory data (GGA-PBE) for a geometry-optimized Ac8Ir3CBr4 structure.

The structure in extended XYZ format:
```
16
Lattice="8.624 0.000 0.000 0.000 9.589 0.669 -4.312 -4.311 6.098" Properties=species:S:1:pos:R:3 pbc="T T T"
Ac -2.238 2.428 6.341
Ac 0.000 4.665 3.180
Ac 0.000 0.597 3.465
Ac 2.238 2.428 6.341
Ac 2.074 2.849 0.426
Ac 4.312 4.681 3.302
Ac 4.312 0.613 3.587
Ac 6.550 2.849 0.426
Ir 4.312 4.794 0.335
Ir 2.156 2.639 3.384
Ir -2.156 2.639 3.384
C 0.000 4.794 0.335
Br 4.312 0.000 0.000
Br 2.156 -2.155 3.049
Br 0.000 0.000 0.000
Br -2.156 -2.155 3.049
```

Properties
ρ: 8.549 Mg/m³
Formation energy from raw total energies: -16.46 eV/f.u.
Total magnetization: 0.000 μB per atom

---

(7)
Density functional theory data (GGA-PBE) for a geometry-optimized AcLaCBr structure.

The structure in extended XYZ format:
```
4
Lattice="-3.350 0.396 -2.029 -0.076 -1.468 3.656 1.361 7.524 3.050" Properties=species:S:1:pos:R:3 pbc="T T T"
Ac -0.802 5.118 1.606
La -0.310 -0.951 3.426
C 0.114 5.928 4.075
Br -2.765 2.487 0.515
```

Properties
ρ: 7.152 Mg/m³
Formation energy from raw total energies: -3.22 eV/f.u.
Total magnetization: 0.000 μB per atom

---

(8)
Density functional theory data (GGA-PBE) for a geometry-optimized Ac4CBr2N structure.

The structure in extended XYZ format:
```
8
Lattice="-0.555 -0.221 -3.923 -1.155 -6.729 0.542 -7.433 3.682 0.845" Properties=species:S:1:pos:R:3 pbc="T T T"
Ac -1.907 -0.951 -1.683
Ac -7.235 -2.317 -0.853
Ac -6.365 1.205 0.833
Ac -2.223 -4.252 0.554
C -0.855 -3.475 -1.690
Br -3.994 1.731 -1.539
Br -4.294 -1.524 0.693
N 0.000 0.000 0.000
```

Properties
ρ: 8.339 Mg/m³
Formation energy from raw total energies: -8.06 eV/f.u.
Total magnetization: 0.000 μB per atom

---

(9)
Density functional theory data (GGA-PBE) for a geometry-optimized AcCBrN2 structure.

The structure in extended XYZ format:
```
10
Lattice="4.247 0.000 0.000 0.000 5.500 -0.190 0.000 -1.093 8.019" Properties=species:S:1:pos:R:3 pbc="T T T"
Ac 3.185 4.213 2.047
Ac 1.062 0.193 5.782
C 3.185 2.899 4.989
C 1.062 1.508 2.840
Br 3.185 1.373 0.324
Br 1.062 3.034 7.505
N 1.062 2.719 2.658
N 1.062 0.276 3.059
N 3.185 4.130 4.771
N 3.185 1.688 5.171
```

Properties
ρ: 6.181 Mg/m³
Formation energy from raw total energies: -5.80 eV/f.u.
Total magnetization: 0.000 μB per atom

---

(10)
Density functional theory data (GGA-PBE) for a geometry-optimized Ac8C3Br4N structure.

The structure in extended XYZ format:
```
16
Lattice="-1.750 0.358 -7.780 -7.615 -5.050 1.480 0.582 6.735 4.274" Properties=species:S:1:pos:R:3 pbc="T T T"
Ac -5.054 3.078 3.346
Ac -5.349 -0.321 1.188
Ac -2.547 2.164 0.672
Ac -5.938 3.259 -0.583
Ac -2.844 -1.216 -1.443
Ac -6.234 -0.120 -2.698
Ac -3.433 2.364 -3.214
Ac -3.727 -1.035 -5.372
C -4.682 -2.346 -3.150
C -4.391 1.022 -1.013
C -3.516 0.843 2.877
Br -0.875 0.179 -3.890
Br -0.584 3.547 -1.753
Br 0.000 0.000 0.000
Br 0.291 3.368 2.137
N -3.807 -2.525 0.740
```

Properties
ρ: 8.188 Mg/m³
Formation energy from raw total energies: -13.86 eV/f.u.
Total magnetization: 0.000 μB per atom

---

(11)
Density functional theory data (GGA-PBE) for a geometry-optimized Ac6CBr3N2 structure.

The structure in extended XYZ format:
```
12
Lattice="-6.127 -0.519 2.979 4.792 -4.721 1.195 3.106 6.021 4.824" Properties=species:S:1:pos:R:3 pbc="T T T"
Ac -0.330 1.580 7.449
Ac -0.397 -2.693 3.914
Ac 2.101 -0.799 1.548
Ac 3.339 0.167 6.850
Ac 2.167 3.473 5.083
Ac -1.569 0.613 2.148
C 0.000 0.000 0.000
Br 4.551 -1.021 3.899
Br -2.781 1.801 5.098
Br 0.885 0.390 4.499
N 1.156 -3.322 1.789
N -2.491 -1.918 2.385
```

Properties
ρ: 8.432 Mg/m³
Formation energy from raw total energies: -13.17 eV/f.u.
Total magnetization: 0.000 μB per atom

---

(12)
Density functional theory data (GGA-PBE) for a geometry-optimized Ac4NiCBr2 structure.

The structure in extended XYZ format:
```
8
Lattice="4.086 0.000 0.000 0.000 7.492 0.163 0.000 -2.613 7.951" Properties=species:S:1:pos:R:3 pbc="T T T"
Ac 2.043 1.290 1.538
Ac 2.043 3.589 6.576
Ac 0.000 0.069 6.474
Ac 0.000 4.810 1.641
Ni 0.000 0.000 0.000
C 2.043 3.746 0.082
Br 2.043 -1.307 3.976
Br 0.000 2.439 4.057
```

Properties
ρ: 7.712 Mg/m³
Formation energy from raw total energies: -5.72 eV/f.u.
Total magnetization: 0.000 μB per atom

---

What is the total magnetization in the seventh record?
0.000 μB per atom

---

What did the third record say?
Density functional theory data (GGA-PBE) for a geometry-optimized AcH8C2Br structure.

The structure in extended XYZ format:
```
12
Lattice="-1.608 4.761 2.971 -5.377 0.372 -2.241 -1.641 -3.928 4.495" Properties=species:S:1:pos:R:3 pbc="T T T"
Ac 0.000 0.000 0.000
H -4.299 0.259 4.220
H -4.557 2.725 1.000
H -5.243 1.738 2.328
H -3.384 -0.533 2.896
H -4.071 -1.520 4.224
H -5.160 -0.744 3.029
H -3.467 1.949 2.195
H -4.328 0.945 1.004
C -4.405 1.843 1.633
C -4.223 -0.638 3.591
Br -0.821 -1.964 2.247
```

Properties
ρ: 2.698 Mg/m³
Energy: -4.505 eV per atom
Total magnetization: 0.042 μB per atom